[1]
This record from the Alexandria database describes ScSiHPb2 at its PBEsol-relaxed geometry. The functional is meta-GGA SCAN.

The structure in CIF format:
```
data_ScSiHPb2
_chemical_formula_sum 'Sc1 Si1 H1 Pb2'
_space_group_name_H-M_alt 'P 4/m m m'
_space_group_IT_number 123
_space_group_name_Hall '-P 4 2'
_cell_length_a 5.228
_cell_length_b 5.228
_cell_length_c 5.067
_cell_angle_alpha 90.00
_cell_angle_beta 90.00
_cell_angle_gamma 90.00
loop_
_atom_site_label
_atom_site_type_symbol
_atom_site_fract_x
_atom_site_fract_y
_atom_site_fract_z
_atom_site_occupancy
Sc1 Sc 0.000 0.000 0.000 1
Si1 Si 0.000 0.000 0.500 1
H1 H 0.500 0.500 0.000 1
Pb1 Pb 0.000 0.500 0.500 1
```

Calculated values
raw total energy: -35.1092 eV per atom
polymorph energy (0 for the lowest one): 0 meV/atom

[2]
This record from the Alexandria database describes HPbSe2 at its PBEsol-relaxed geometry. The functional is meta-GGA SCAN.

The structure in CIF format:
```
data_HPbSe2
_chemical_formula_sum 'H4 Pb4 Se8'
_space_group_name_H-M_alt 'F m -3 m'
_space_group_IT_number 225
_space_group_name_Hall '-F 4 2 3'
_cell_length_a 6.835
_cell_length_b 6.835
_cell_length_c 6.835
_cell_angle_alpha 90.00
_cell_angle_beta 90.00
_cell_angle_gamma 90.00
loop_
_atom_site_label
_atom_site_type_symbol
_atom_site_fract_x
_atom_site_fract_y
_atom_site_fract_z
_atom_site_occupancy
H1 H 0.000 0.000 0.000 1
Pb1 Pb 0.000 0.000 0.500 1
Se1 Se 0.250 0.250 0.250 1
```

Calculated values
raw total energy: -29.2112 eV per atom

Q: raw total energy of number 1 (ScSiHPb2)?
A: -35.1092 eV per atom

Q: raw total energy of number 1 (ScSiHPb2)?
A: -35.1092 eV per atom

Q: Number 2 is which compound?
A: HPbSe2